## Ir2OsPt (GGA-PBEsol)

Data for an optimized crystal structure of Ir2OsPt.

```
Ir2OsPt
1.0
2.7204 0.0000 0.0000
0.0000 3.8336 0.0000
0.0000 0.0000 5.4556
Os Pt Ir
1 1 2
direct
0.5000 0.5000 0.0000 Os
0.5000 0.5000 0.5000 Pt
0.0000 0.0000 0.7583 Ir
0.0000 0.0000 0.2417 Ir
```

DFT formation energy in eV/atom: 0.030
Energy relative to the lowest polymorph listed for this composition in eV/f.u.: 0.11